Version i
This record from Alexandria describes a relaxed structure of Sr2In3Ge. The functional is PBE-GGA.

```
data_Sr2In3Ge
_space_group_name_H-M_alt 'C 1 m 1'
_space_group_IT_number 8
_cell_length_a 11.837
_cell_length_b 4.830
_cell_length_c 7.842
_cell_angle_alpha 90.00
_cell_angle_beta 128.69
_cell_angle_gamma 90.00
loop_
_space_group_symop_operation_xyz
'x,y,z'
'x,-y,z'
'x+1/2,y+1/2,z'
'x+1/2,-y+1/2,z'
loop_
_atom_site_label
_atom_site_fract_x
_atom_site_fract_y
_atom_site_fract_z
Sr1 0.000 0.000 0.000
Sr2 0.122 0.000 0.629
In1 0.220 0.500 0.015
In2 0.227 0.500 0.408
In3 0.399 0.000 0.244
Ge1 0.406 0.000 0.624
```

The value obtained for the density is 5.62 Mg/m³.

Version ii
This record from Alexandria describes a relaxed structure of Sr2In3Ge. The functional is PBE-GGA.

```
data_Sr2In3Ge
_space_group_name_H-M_alt 'P m m 2'
_space_group_IT_number 25
_cell_length_a 4.702
_cell_length_b 4.805
_cell_length_c 8.204
_cell_angle_alpha 90.00
_cell_angle_beta 90.00
_cell_angle_gamma 90.00
loop_
_space_group_symop_operation_xyz
'x,y,z'
'-x,-y,z'
'-x,y,z'
'x,-y,z'
loop_
_atom_site_label
_atom_site_fract_x
_atom_site_fract_y
_atom_site_fract_z
Sr1 0.000 0.000 0.000
Sr2 0.000 0.500 0.474
In1 0.500 0.000 0.644
In2 0.500 0.500 0.158
In3 0.500 0.500 0.815
Ge1 0.500 0.000 0.317
```

The value obtained for the density is 5.31 Mg/m³.

Calculated relative energies: version i 0; version ii 31, given in meV per atom